# 1
Density functional theory data (PBE) for Ce3GeH2 after structural relaxation.

Computed properties:
symmetry	Cmcm, No. 63
DFT total energy	-5.344	eV/atom

Unit cell a=6.5855 b=6.5855 c=5.0875 alpha=90.00 beta=90.00 gamma=96.37
Closest atoms and distances in Å follow each position.
Fractional coordinates of all 12 atoms:
Ce1 0.1527 0.8473 0.7500  4 H 2.32
Ce2 0.1726 0.4299 0.7500  2 H 2.29
Ce3 0.4299 0.1726 0.2500  2 H 2.29
Ce4 0.5701 0.8274 0.7500  2 H 2.29
Ce5 0.8274 0.5701 0.2500  2 H 2.29
Ce6 0.8473 0.1527 0.2500  4 H 2.32
Ge1 0.3320 0.6680 0.2500  10 Ce 3.09-3.39
Ge2 0.6680 0.3320 0.7500  10 Ce 3.09-3.39
H1 0.1398 0.1398 0.0000  4 Ce 2.29-2.32, 3 H 2.45-2.54
H2 0.1398 0.1398 0.5000  4 Ce 2.29-2.32, 3 H 2.45-2.54
H3 0.8602 0.8602 0.0000  4 Ce 2.29-2.32, 3 H 2.45-2.54
H4 0.8602 0.8602 0.5000  4 Ce 2.29-2.32, 3 H 2.45-2.54


# 2
Density functional theory data (PBE) for LiTa2Te after structural relaxation.

Computed properties:
symmetry	I4/mmm, No. 139
uncorrected formation energy	0.85	eV per formula unit

Unit cell a=5.3974 b=5.3974 c=5.3974 alpha=136.94 beta=136.94 gamma=62.53
Closest atoms and distances in Å follow each position.
Fractional coordinates of all 4 atoms:
Li1 0.0000 0.0000 0.0000  4 Te 2.80, 8 Ta 3.04
Ta1 0.2500 0.7500 0.5000  4 Ta 2.80, 4 Li 3.04, 4 Te 3.04
Ta2 0.7500 0.2500 0.5000  4 Ta 2.80, 4 Li 3.04, 4 Te 3.04
Te1 0.5000 0.5000 0.0000  4 Li 2.80, 8 Ta 3.04


Number 1: volume 18.27 Å³/atom. Number 2: volume 18.10 Å³/atom.